No. 1
YAsCl | PBE | relaxed

Results
- Energy above the most stable polymorph in this dataset: 39 meV/atom
- Crystal system: orthorhombic
- Uncorrected formation energy: -1121 meV per atom
- V: 81 Å³/f.u.

Cell: 7.6010 7.5388 3.3608 Å, 78.21 76.14 25.65°
Closest atoms and distances in Å follow each position.
Fractional positions:
Y 0.0000 0.0000 0.0000  4 Cl 2.84-3.00, 4 As 2.96-3.11
As 0.6316 0.6316 0.3684  4 Y 2.96-3.11
Cl 0.3820 0.3820 0.6180  4 Y 2.84-3.00

No. 2
Cr2SiHRh | PBE | relaxed

Results
- Energy above the most stable polymorph in this dataset: 891 meV/atom
- Crystal system: tetragonal
- V: 68 Å³/f.u.

Cell: 4.7073 4.7073 3.0558 Å, 90.00 90.00 90.00°
Closest atoms and distances in Å follow each position.
Fractional positions:
Cr 0.0000 0.5000 0.0000  2 Si 2.35
Cr 0.5000 0.0000 0.0000  2 Si 2.35
Si 0.0000 0.0000 0.0000  2 H 1.53
H 0.0000 0.0000 0.5000  2 Si 1.53
Rh 0.5000 0.5000 0.5000  8 Cr 2.81, 2 Rh 3.06

No. 3
Zn8RhAu6 | PBE | relaxed

Results
- Crystal system: trigonal
- DFT formation energy: -13 kJ per mole of atoms
- V: 270 Å³/f.u.

Cell: 6.9045 6.9045 6.9045 Å, 67.44 67.44 67.44°
Closest atoms and distances in Å follow each position.
Fractional positions:
Zn 0.1000 0.6820 0.3837  5 Au 2.59-2.84, 1 Rh 2.85
Zn 0.1555 0.1555 0.1555  6 Au 2.63-2.69
Zn 0.3180 0.6163 0.9000  5 Au 2.59-2.84, 1 Rh 2.85
Zn 0.3837 0.1000 0.6820  5 Au 2.59-2.84, 1 Rh 2.85
Zn 0.6163 0.9000 0.3180  5 Au 2.59-2.84, 1 Rh 2.85
Zn 0.6820 0.3837 0.1000  5 Au 2.59-2.84, 1 Rh 2.85
Zn 0.8445 0.8445 0.8445  6 Au 2.63-2.69
Zn 0.9000 0.3180 0.6163  5 Au 2.59-2.84, 1 Rh 2.85
Rh 0.5000 0.5000 0.5000  6 Zn 2.85, 6 Au 2.88
Au 0.0826 0.4465 0.7914  7 Zn 2.59-2.84, 1 Rh 2.88
Au 0.2086 0.9174 0.5535  7 Zn 2.59-2.84, 1 Rh 2.88
Au 0.4465 0.7914 0.0826  7 Zn 2.59-2.84, 1 Rh 2.88
Au 0.5535 0.2086 0.9174  7 Zn 2.59-2.84, 1 Rh 2.88
Au 0.7914 0.0826 0.4465  7 Zn 2.59-2.84, 1 Rh 2.88
Au 0.9174 0.5535 0.2086  7 Zn 2.59-2.84, 1 Rh 2.88

No. 4
ZrMn2BCl | PBE | relaxed

Results
- Crystal system: tetragonal
- Uncorrected formation energy: 1471 meV per atom
- V: 120 Å³/f.u.

Cell: 5.2220 5.2220 4.3900 Å, 90.00 90.00 90.00°
Closest atoms and distances in Å follow each position.
Fractional positions:
Zr 0.0000 0.0000 0.0000  2 B 2.20
Mn 0.0000 0.5000 0.0000  2 Zr 2.61
Mn 0.5000 0.0000 0.0000  2 Zr 2.61
B 0.0000 0.0000 0.5000  2 Zr 2.20
Cl 0.5000 0.5000 0.5000  8 Mn 3.41, 4 B 3.69

No. 5
InCuP | PBE | relaxed

Results
- Crystal system: cubic
- DFT formation energy: 16 kJ per mole of atoms
- V: 56 Å³/f.u.

Cell: 4.3064 4.3064 4.3064 Å, 60.00 60.00 60.00°
Closest atoms and distances in Å follow each position.
Fractional positions:
In 0.0000 0.0000 0.0000  4 Cu 2.64
Cu 0.7500 0.7500 0.7500  4 In 2.64, 4 P 2.64
P 0.5000 0.5000 0.5000  4 Cu 2.64

No. 6
ScReS2N | PBE | relaxed

Results
- Energy above the most stable polymorph in this dataset: 0 meV/atom
- Crystal system: tetragonal
- Uncorrected formation energy: -274 meV per atom
- V: 86 Å³/f.u.

Cell: 4.8008 4.8008 3.7363 Å, 90.00 90.00 90.00°
Closest atoms and distances in Å follow each position.
Fractional positions:
Sc 0.0000 0.0000 0.0000  8 S 3.04, 4 N 3.39
Re 0.5000 0.5000 0.5000  2 N 1.87
S 0.0000 0.5000 0.5000  2 Re 2.40
S 0.5000 0.0000 0.5000  2 Re 2.40
N 0.5000 0.5000 0.0000  2 Re 1.87

No. 7
CaLa2SiN4 | PBE | relaxed

Results
- Crystal system: orthorhombic
- Uncorrected formation energy: -1071 meV per atom
- V: 135 Å³/f.u.

Cell: 6.5668 6.5668 12.2395 Å, 90.00 90.00 149.35°
Closest atoms and distances in Å follow each position.
Fractional positions:
Ca 0.1267 0.8733 0.7500  4 N 2.61, 2 Si 2.91
Ca 0.8733 0.1267 0.2500  4 N 2.61, 2 Si 2.91
La 0.3703 0.6297 0.5397  6 N 2.44-2.72
La 0.3703 0.6297 0.9603  6 N 2.44-2.72
La 0.6297 0.3703 0.0397  6 N 2.44-2.72
La 0.6297 0.3703 0.4603  6 N 2.44-2.72
Si 0.1887 0.8113 0.2500  4 N 1.74-1.94
Si 0.8113 0.1887 0.7500  4 N 1.74-1.94
N 0.0000 0.0000 0.0000  4 La 2.44
N 0.0000 0.0000 0.5000  4 La 2.44
N 0.2679 0.7321 0.1341  1 Si 1.74
N 0.2679 0.7321 0.3659  1 Si 1.74
N 0.3800 0.6200 0.7500  2 Si 1.94
N 0.6200 0.3800 0.2500  2 Si 1.94
N 0.7321 0.2679 0.6341  1 Si 1.74
N 0.7321 0.2679 0.8659  1 Si 1.74

No. 8
BeIr2Se | PBE | relaxed

Results
- Energy above the most stable polymorph in this dataset: 575 meV/atom
- Crystal system: cubic
- Uncorrected formation energy: 610 meV per atom
- V: 58 Å³/f.u.

Cell: 4.3545 4.3545 4.3545 Å, 60.00 60.00 60.00°
Closest atoms and distances in Å follow each position.
Fractional positions:
Be 0.0000 0.0000 0.0000  4 Se 2.67, 4 Ir 2.67
Ir 0.2500 0.2500 0.2500  4 Be 2.67, 4 Ir 2.67
Ir 0.5000 0.5000 0.5000  4 Se 2.67, 4 Ir 2.67
Se 0.7500 0.7500 0.7500  4 Ir 2.67, 4 Be 2.67